1.
DFT (GGA-PBE) results for a relaxed SrCu2Hg crystal.

Geometry as extended XYZ:
```
4
Lattice="3.461 0.000 0.000 0.000 3.461 0.000 0.000 0.000 7.057" Properties=species:S:1:pos:R:3 pbc="T T T"
Sr 0.000 0.000 0.000
Cu 0.000 0.000 3.078
Cu 1.731 1.731 2.127
Hg 1.731 1.731 4.757
```

Values from the calculation:
The calculation puts the total moment at 0.00 μB per cell. Its energy relative to the elements is 0.01 eV per formula unit. The calculation puts the energy relative to the lowest polymorph listed for this composition at 0.141 eV per atom. As for the space group: P4mm (99). As for the total energy: -10.17 eV/cell. For the theoretical density, the calculation gives 8.16 Mg/m³.

---

2.
DFT (GGA-PBE) results for a relaxed SrSmAlCd crystal.

Geometry as extended XYZ:
```
4
Lattice="0.000 3.870 3.870 3.870 0.000 3.870 3.870 3.870 0.000" Properties=species:S:1:pos:R:3 pbc="T T T"
Sr 0.000 0.000 0.000
Sm 3.870 3.870 3.870
Al 1.935 1.935 1.935
Cd 5.806 5.806 5.806
```

Values from the calculation:
The calculation puts the total moment at 0.00 μB per cell. Its energy relative to the elements is -0.94 eV per formula unit. As for the space group: F-43m (216). As for the total energy: -11.99 eV/cell. For the theoretical density, the calculation gives 5.40 Mg/m³.

---

3.
DFT (GGA-PBE) results for a relaxed Hg6AuI3 crystal.

Geometry as extended XYZ:
```
20
Lattice="5.947 3.434 5.103 -5.947 3.434 5.103 0.000 -6.867 5.103" Properties=species:S:1:pos:R:3 pbc="T T T"
Hg -4.189 -2.418 8.241
Hg -2.230 -1.288 6.466
Hg 0.000 -4.837 7.067
Hg -4.189 2.418 7.067
Hg 0.000 -2.575 8.841
Hg -2.230 1.288 8.841
Hg 2.230 -1.288 6.466
Hg 0.000 2.575 6.466
Hg 4.189 -2.418 8.241
Hg 0.000 4.837 8.241
Hg 2.230 1.288 8.841
Hg 4.189 2.418 7.067
Au 0.000 0.000 0.000
Au 0.000 0.000 7.654
I 0.000 -2.616 4.492
I -2.266 1.308 4.492
I -2.266 -1.308 10.816
I 2.266 1.308 4.492
I 2.266 -1.308 10.816
I 0.000 2.616 10.816
```

Values from the calculation:
The calculation puts the total moment at 0.00 μB per cell. As for the space group: R-3m (166). As for the total energy: -20.24 eV/cell. For the theoretical density, the calculation gives 9.46 Mg/m³.

---

4.
DFT (GGA-PBE) results for a relaxed EuPaIrRh crystal.

Geometry as extended XYZ:
```
4
Lattice="0.000 3.472 3.472 3.472 0.000 3.472 3.472 3.472 0.000" Properties=species:S:1:pos:R:3 pbc="T T T"
Eu 0.000 0.000 0.000
Pa 3.472 3.472 3.472
Ir 5.208 5.208 5.208
Rh 1.736 1.736 1.736
```

Values from the calculation:
The calculation puts the total moment at 7.05 μB per cell. Its energy relative to the elements is -2.03 eV per formula unit. As for the space group: F-43m (216). As for the total energy: -38.01 eV/cell. For the theoretical density, the calculation gives 13.45 Mg/m³.

---

5.
DFT (GGA-PBE) results for a relaxed NdTl3Sb2Se6 crystal.

Geometry as extended XYZ:
```
12
Lattice="3.697 -6.397 0.000 3.697 6.397 0.000 -2.462 0.000 7.647" Properties=species:S:1:pos:R:3 pbc="T T T"
Nd 0.000 0.000 0.000
Tl 2.467 4.297 3.823
Tl 2.467 0.000 3.823
Tl 2.467 -4.297 3.823
Sb 3.697 2.128 0.000
Sb 3.697 -2.128 0.000
Se 1.261 2.175 1.611
Se 0.057 0.000 6.063
Se 1.261 -2.175 1.611
Se 3.672 2.175 6.036
Se 4.876 0.000 1.583
Se 3.672 -2.175 6.036
```

Values from the calculation:
The calculation puts the total moment at 0.00 μB per cell. As for the space group: C2/m (12). As for the total energy: -49.34 eV/cell. For the theoretical density, the calculation gives 6.77 Mg/m³.

---

6.
DFT (GGA-PBE) results for a relaxed BaSb2Os crystal.

Geometry as extended XYZ:
```
4
Lattice="2.207 1.274 6.767 -2.207 1.274 6.767 0.000 -2.549 6.767" Properties=species:S:1:pos:R:3 pbc="T T T"
Ba 0.000 0.000 0.000
Sb 0.000 0.000 4.338
Sb 0.000 0.000 9.092
Os 0.000 0.000 16.622
```

Values from the calculation:
The calculation puts the total moment at 0.00 μB per cell. As for the space group: R3m (160). As for the total energy: -22.32 eV/cell. For the theoretical density, the calculation gives 8.30 Mg/m³.

---

7.
DFT (GGA-PBE) results for a relaxed Cu2ReAs crystal.

Geometry as extended XYZ:
```
4
Lattice="0.000 3.016 3.016 3.016 0.000 3.016 3.016 3.016 0.000" Properties=species:S:1:pos:R:3 pbc="T T T"
Cu 0.000 0.000 0.000
Cu 1.508 1.508 1.508
Re 4.523 4.523 4.523
As 3.016 3.016 3.016
```

Values from the calculation:
The calculation puts the total moment at 0.00 μB per cell. Its energy relative to the elements is 1.57 eV per formula unit. As for the space group: F-43m (216). As for the total energy: -23.72 eV/cell. For the theoretical density, the calculation gives 11.75 Mg/m³.

---

8.
DFT (GGA-PBE) results for a relaxed Pr5RuAu4 crystal.

Geometry as extended XYZ:
```
10
Lattice="3.666 0.000 0.000 0.000 3.666 0.000 0.000 0.000 18.927" Properties=species:S:1:pos:R:3 pbc="T T T"
Pr 0.000 0.000 0.000
Pr 0.000 0.000 3.863
Pr 0.000 0.000 7.737
Pr 0.000 0.000 11.191
Pr 0.000 0.000 15.064
Ru 1.833 1.833 9.464
Au 1.833 1.833 1.918
Au 1.833 1.833 5.765
Au 1.833 1.833 13.162
Au 1.833 1.833 17.009
```

Values from the calculation:
The calculation puts the total moment at 0.00 μB per cell. Its energy relative to the elements is -6.14 eV per formula unit. As for the space group: P4/mmm (123). As for the total energy: -52.42 eV/cell. For the theoretical density, the calculation gives 10.40 Mg/m³.